--- one ---
Th4InCo: relaxed, GGA-PBE.

Summary:
As for the crystal system: tetragonal.

```
Th4InCo
1.0
7.4611 0.0000 0.0000
0.0000 7.4611 0.0000
0.0000 0.0000 5.8961
Th In Co
8 2 2
direct
0.1403 0.3181 0.0000
0.1403 0.6819 0.5000
0.3181 0.1403 0.5000
0.3181 0.8597 0.0000
0.6819 0.1403 0.0000
0.6819 0.8597 0.5000
0.8597 0.3181 0.5000
0.8597 0.6819 0.0000
0.5000 0.5000 0.2500
0.5000 0.5000 0.7500
0.0000 0.0000 0.2500
0.0000 0.0000 0.7500
```

***

--- two ---
Th4InCo: relaxed, GGA-PBE.

Summary:
As for the crystal system: cubic.

```
Th4InCo
1.0
0.0000 6.9165 6.9165
6.9165 0.0000 6.9165
6.9165 6.9165 0.0000
Th In Co
16 4 4
direct
0.1858 0.1858 0.8142
0.1858 0.8142 0.1858
0.1858 0.8142 0.8142
0.4050 0.4050 0.4050
0.4050 0.4050 0.7851
0.4050 0.7851 0.4050
0.5570 0.5570 0.9430
0.5570 0.9430 0.5570
0.5570 0.9430 0.9430
0.7851 0.4050 0.4050
0.8142 0.1858 0.1858
0.8142 0.1858 0.8142
0.8142 0.8142 0.1858
0.9430 0.5570 0.5570
0.9430 0.5570 0.9430
0.9430 0.9430 0.5570
0.1700 0.1700 0.1700
0.1700 0.1700 0.4901
0.1700 0.4901 0.1700
0.4901 0.1700 0.1700
0.1694 0.6102 0.6102
0.6102 0.1694 0.6102
0.6102 0.6102 0.1694
0.6102 0.6102 0.6102
```

***

Relative energies, kJ/mol of atoms: one 3.5; two 0.0.

***

--- one ---
Th3InCo: relaxed, GGA-PBE.

Summary:
As for the crystal system: monoclinic.

```
Th3InCo
1.0
7.1192 0.0000 0.0000
0.0000 4.7721 0.0000
-2.3423 0.0000 8.2566
Th In Co
6 2 2
direct
0.0365 0.2500 0.3322
0.2852 0.2500 0.9320
0.4303 0.7500 0.6089
0.5697 0.2500 0.3911
0.7148 0.7500 0.0680
0.9635 0.7500 0.6678
0.2712 0.7500 0.1819
0.7288 0.2500 0.8181
0.2171 0.2500 0.6262
0.7829 0.7500 0.3738
```

***

--- two ---
Th3InCo: relaxed, GGA-PBE.

Summary:
As for the crystal system: cubic.

```
Th3InCo
1.0
5.2708 0.0000 0.0000
0.0000 5.2708 0.0000
0.0000 0.0000 5.2708
Th In Co
3 1 1
direct
0.0000 0.0000 0.5000
0.0000 0.5000 0.0000
0.5000 0.0000 0.0000
0.5000 0.5000 0.5000
0.0000 0.0000 0.0000
```

***

--- three ---
Th3InCo: relaxed, GGA-PBE.

Summary:
As for the crystal system: monoclinic.

```
Th3InCo
1.0
5.8709 -2.6822 0.0000
5.8709 2.6822 0.0000
-3.2373 0.0000 8.6536
Th In Co
6 2 2
direct
0.1313 0.1313 0.1552
0.1371 0.1371 0.7580
0.3674 0.3674 0.5545
0.6326 0.6326 0.4455
0.8629 0.8629 0.2420
0.8687 0.8687 0.8448
0.4093 0.4093 0.0786
0.5907 0.5907 0.9214
0.1032 0.1032 0.4469
0.8968 0.8968 0.5531
```

***

Relative energies, kJ/mol of atoms: one 3.5; two 2.7; three 0.0.

***

--- one ---
Ti2In2Co: relaxed, GGA-PBE.

Summary:
As for the crystal system: tetragonal.

```
Ti2In2Co
1.0
6.7274 0.0000 0.0000
0.0000 6.7274 0.0000
0.0000 0.0000 4.0737
Ti In Co
4 4 2
direct
0.1609 0.3391 0.0000
0.3391 0.8391 0.0000
0.6609 0.1609 0.0000
0.8391 0.6609 0.0000
0.1473 0.6473 0.5000
0.3527 0.1473 0.5000
0.6473 0.8527 0.5000
0.8527 0.3527 0.5000
0.0000 0.0000 0.5000
0.5000 0.5000 0.5000
```

***

--- two ---
Ti2In2Co: relaxed, GGA-PBE.

Summary:
As for the crystal system: tetragonal.

```
Ti2In2Co
1.0
6.2894 0.0000 0.0000
0.0000 6.2894 0.0000
0.0000 0.0000 4.7378
Ti In Co
4 4 2
direct
0.1564 0.3436 0.0000
0.3436 0.8436 0.0000
0.6564 0.1564 0.0000
0.8436 0.6564 0.0000
0.1653 0.6653 0.5000
0.3347 0.1653 0.5000
0.6653 0.8347 0.5000
0.8347 0.3347 0.5000
0.0000 0.0000 0.0000
0.5000 0.5000 0.0000
```

***

Relative energies, kJ/mol of atoms: one 7.3; two 0.0.

***

--- one ---
TlInCo: relaxed, GGA-PBE.

Summary:
As for the crystal system: cubic.

```
TlInCo
1.0
0.0000 3.1468 3.1468
3.1468 0.0000 3.1468
3.1468 3.1468 0.0000
Tl In Co
1 1 1
direct
0.0000 0.0000 0.0000
0.5000 0.5000 0.5000
0.7500 0.7500 0.7500
```

***

--- two ---
TlInCo: relaxed, GGA-PBE.

Summary:
As for the crystal system: trigonal.

```
TlInCo
1.0
3.2747 0.0000 0.0000
-1.6374 2.8360 0.0000
0.0000 0.0000 6.6625
Tl In Co
1 1 1
direct
0.0000 0.0000 0.0000
0.3333 0.6667 0.5847
0.6667 0.3333 0.3038
```

***

--- three ---
TlInCo: relaxed, GGA-PBE.

Summary:
As for the crystal system: trigonal.

```
TlInCo
1.0
4.4400 0.0000 0.0000
-2.2200 3.8452 0.0000
0.0000 0.0000 3.7202
Tl In Co
1 1 1
direct
0.0000 0.0000 0.0000
0.6667 0.3333 0.5162
0.3333 0.6667 0.3351
```

***

Relative energies, kJ/mol of atoms: one 0.0; two 10.7; three 20.2.

***

--- one ---
TlInCo3: relaxed, GGA-PBE.

Summary:
As for the crystal system: cubic.

```
TlInCo3
1.0
4.7737 0.0000 0.0000
0.0000 4.7737 0.0000
0.0000 0.0000 4.7737
Tl In Co
1 1 3
direct
0.0000 0.0000 0.0000
0.5000 0.5000 0.5000
0.0000 0.5000 0.5000
0.5000 0.0000 0.5000
0.5000 0.5000 0.0000
```

***

--- two ---
TlInCo3: relaxed, GGA-PBE.

Summary:
As for the crystal system: cubic.

```
TlInCo3
1.0
4.7980 0.0000 0.0000
0.0000 4.7980 0.0000
0.0000 0.0000 4.7980
Tl In Co
1 1 3
direct
0.0000 0.0000 0.0000
0.5000 0.5000 0.5000
0.0000 0.0000 0.5000
0.0000 0.5000 0.0000
0.5000 0.0000 0.0000
```

***

Relative energies, kJ/mol of atoms: one 0.0; two 12.8.

***

--- one ---
Tm3InCo: relaxed, GGA-PBE.

Summary:
As for the crystal system: monoclinic.

```
Tm3InCo
1.0
5.8013 -2.6308 0.0000
5.8013 2.6308 0.0000
-3.4663 0.0000 8.2011
Tm In Co
6 2 2
direct
0.1077 0.1077 0.2177
0.1555 0.1555 0.6656
0.3832 0.3832 0.0880
0.6168 0.6168 0.9120
0.8445 0.8445 0.3344
0.8923 0.8923 0.7823
0.3905 0.3905 0.5511
0.6095 0.6095 0.4489
0.1384 0.1384 0.9445
0.8616 0.8616 0.0555
```

***

--- two ---
Tm3InCo: relaxed, GGA-PBE.

Summary:
As for the crystal system: monoclinic.

```
Tm3InCo
1.0
8.3055 0.0000 0.0000
0.0000 3.7837 0.0000
-3.1709 0.0000 7.9012
Tm In Co
6 2 2
direct
0.0353 0.2500 0.2323
0.3157 0.7500 0.5748
0.3270 0.2500 0.9047
0.6730 0.7500 0.0953
0.6843 0.2500 0.4252
0.9647 0.7500 0.7677
0.3437 0.7500 0.2106
0.6563 0.2500 0.7894
0.0664 0.2500 0.5847
0.9336 0.7500 0.4153
```

***

Relative energies, kJ/mol of atoms: one 3.4; two 0.0.

***

--- one ---
YTmInCo: relaxed, GGA-PBE.

Summary:
As for the crystal system: tetragonal.

```
YTmInCo
1.0
3.4215 0.0000 0.0000
0.0000 3.4215 0.0000
0.0000 0.0000 7.6378
Y Tm In Co
1 1 1 1
direct
0.0000 0.0000 0.0000
0.0000 0.0000 0.5744
0.5000 0.5000 0.2920
0.5000 0.5000 0.7772
```

***

--- two ---
YTmInCo: relaxed, GGA-PBE.

Summary:
As for the crystal system: cubic.

```
YTmInCo
1.0
0.0000 3.5754 3.5754
3.5754 0.0000 3.5754
3.5754 3.5754 0.0000
Y Tm In Co
1 1 1 1
direct
0.0000 0.0000 0.0000
0.5000 0.5000 0.5000
0.7500 0.7500 0.7500
0.2500 0.2500 0.2500
```

***

Relative energies, kJ/mol of atoms: one 0.0; two 11.4.

***

--- one ---
VIn2Co2: relaxed, GGA-PBE.

Summary:
As for the crystal system: tetragonal.

```
VIn2Co2
1.0
7.4068 0.0000 0.0000
0.0000 7.4068 0.0000
0.0000 0.0000 2.9227
V In Co
2 4 4
direct
0.0000 0.0000 0.0000
0.5000 0.5000 0.0000
0.1408 0.3592 0.0000
0.3592 0.8592 0.0000
0.6408 0.1408 0.0000
0.8592 0.6408 0.0000
0.1598 0.6598 0.5000
0.3402 0.1598 0.5000
0.6598 0.8402 0.5000
0.8402 0.3402 0.5000
```

***

--- two ---
VIn2Co2: relaxed, GGA-PBE.

Summary:
As for the crystal system: tetragonal.

```
VIn2Co2
1.0
6.1405 0.0000 0.0000
0.0000 6.1405 0.0000
0.0000 0.0000 4.1197
V In Co
2 4 4
direct
0.0000 0.0000 0.0000
0.5000 0.5000 0.0000
0.1751 0.3249 0.5000
0.3249 0.8249 0.5000
0.6751 0.1751 0.5000
0.8249 0.6751 0.5000
0.1343 0.6343 0.0000
0.3657 0.1343 0.0000
0.6343 0.8657 0.0000
0.8657 0.3657 0.0000
```

***

Relative energies, kJ/mol of atoms: one 25.8; two 0.0.

***

--- one ---
VIn3Co: relaxed, GGA-PBE.

Summary:
As for the crystal system: cubic.

```
VIn3Co
1.0
4.8784 0.0000 0.0000
0.0000 4.8784 0.0000
0.0000 0.0000 4.8784
V In Co
1 3 1
direct
0.0000 0.0000 0.0000
0.0000 0.5000 0.5000
0.5000 0.0000 0.5000
0.5000 0.5000 0.0000
0.5000 0.5000 0.5000
```

***

--- two ---
VIn3Co: relaxed, GGA-PBE.

Summary:
As for the crystal system: cubic.

```
VIn3Co
1.0
5.1163 0.0000 0.0000
0.0000 5.1163 0.0000
0.0000 0.0000 5.1163
V In Co
1 3 1
direct
0.0000 0.0000 0.0000
0.0000 0.0000 0.5000
0.0000 0.5000 0.0000
0.5000 0.0000 0.0000
0.5000 0.5000 0.5000
```

***

Relative energies, kJ/mol of atoms: one 0.0; two 56.2.

***

--- one ---
In3CoW: relaxed, GGA-PBE.

Summary:
As for the crystal system: cubic.

```
In3CoW
1.0
5.2674 0.0000 0.0000
0.0000 5.2674 0.0000
0.0000 0.0000 5.2674
In Co W
3 1 1
direct
0.0000 0.0000 0.5000
0.0000 0.5000 0.0000
0.5000 0.0000 0.0000
0.5000 0.5000 0.5000
0.0000 0.0000 0.0000
```

***

--- two ---
In3CoW: relaxed, GGA-PBE.

Summary:
As for the crystal system: cubic.

```
In3CoW
1.0
4.8275 0.0000 0.0000
0.0000 4.8275 0.0000
0.0000 0.0000 4.8275
In Co W
3 1 1
direct
0.0000 0.0000 0.5000
0.0000 0.5000 0.0000
0.5000 0.0000 0.0000
0.0000 0.0000 0.0000
0.5000 0.5000 0.5000
```

***

Relative energies, kJ/mol of atoms: one 28.9; two 0.0.

***

--- one ---
InCo3W: relaxed, GGA-PBE.

Summary:
As for the crystal system: cubic.

```
InCo3W
1.0
4.4800 0.0000 0.0000
0.0000 4.4800 0.0000
0.0000 0.0000 4.4800
In Co W
1 3 1
direct
0.0000 0.0000 0.0000
0.0000 0.0000 0.5000
0.0000 0.5000 0.0000
0.5000 0.0000 0.0000
0.5000 0.5000 0.5000
```

***

--- two ---
InCo3W: relaxed, GGA-PBE.

Summary:
As for the crystal system: cubic.

```
InCo3W
1.0
4.4622 0.0000 0.0000
0.0000 4.4622 0.0000
0.0000 0.0000 4.4622
In Co W
1 3 1
direct
0.0000 0.0000 0.0000
0.0000 0.5000 0.5000
0.5000 0.0000 0.5000
0.5000 0.5000 0.0000
0.5000 0.5000 0.5000
```

***

Relative energies, kJ/mol of atoms: one 75.9; two 0.0.